First-principles (PBE-GGA) data for a geometry-optimized Ce4Ir2I3 structure, as listed in the Alexandria database.

abc: 4.1657 4.1657 19.4633
angles: 90.05 89.95 120.00
Last column: magnetic moment on the atom in μB.
Positions (direct):
I (0.6656, 0.3344, 0.3987)  -0.01
I (0.3344, 0.6656, 0.6013)  -0.01
I (0.0000, 0.0000, 0.0000)  -0.01
Ir (0.6672, 0.3328, 0.7960)  -0.06
Ir (0.3328, 0.6672, 0.2040)  -0.06
Ce (0.0008, 0.9992, 0.7151)  0.71
Ce (0.9992, 0.0008, 0.2849)  0.71
Ce (0.6663, 0.3337, 0.1294)  0.74
Ce (0.3337, 0.6663, 0.8706)  0.74

## Properties
Its calculated density is 7526 kg/m³. For the uncorrected formation energy, the calculation gives -1.007 eV per atom.